[1]
Material: YAl3Ni
Method: DFT, PBE
State: optimized geometry

The structure belongs to space group Pm-3m (No. 221); the cell edges are 5.423, 5.423 and 5.423 Å and the angles 90.00°, 90.00° and 90.00°. Symmetry generates all atoms from Y at (0.000, 0.000, 0.000), Al at (0.000, 0.000, 0.500) and Ni at (0.500, 0.500, 0.500).

As for the energy of formation: 1.62 eV per atom. For the volume, the calculation gives 31.89 A^3/atom. The offset from the most stable computed form comes out at 11.098 eV per formula unit.

=====

[2]
Material: FeTePb2
Method: DFT, PBE
State: optimized geometry

The structure belongs to space group Immm (No. 71); the cell edges are 3.469, 4.192 and 14.685 Å and the angles 90.00°, 90.00° and 90.00°. Symmetry generates all atoms from Fe at (0.000, 0.000, 0.000), Te at (0.000, 0.000, 0.500) and Pb at (0.000, 0.500, 0.327).

Its uncorrected formation energy is 274.3 meV/atom. For the volume, the calculation gives 26.69 A^3/atom.